The following is a PBE calculation of a geometry-optimized MnSi2Br structure, from Alexandria.

It has space group F-43m (No. 216), with a = 6.623 Å, b = 6.623 Å, c = 6.623 Å, α = 90.00°, β = 90.00° and γ = 90.00°. Symmetry generates all atoms from Mn at (0.000, 0.000, 0.000), Si at (0.000, 0.000, 0.500), Si at (0.250, 0.250, 0.750) and Br at (0.250, 0.250, 0.250).

As for the energy relative to the lowest polymorph listed for this composition: 2.71 eV per formula unit. Its uncorrected formation energy is 0.721 eV/atom. The uncorrected energy comes out at -4.702 eV/atom.

---

The following is a PBE calculation of a geometry-optimized ThNiSnRu structure, from Alexandria.

It has space group F-43m (No. 216), with a = 6.772 Å, b = 6.772 Å, c = 6.772 Å, α = 90.00°, β = 90.00° and γ = 90.00°. Symmetry generates all atoms from Th at (0.000, 0.000, 0.000), Ni at (0.250, 0.250, 0.250), Sn at (0.000, 0.000, 0.500) and Ru at (0.250, 0.250, 0.750).

For the formation enthalpy at 0 K, the calculation gives -324 meV per atom. The uncorrected energy comes out at -6.944 eV/atom.